1.
Here is crystalline GaAsIO2 at its relaxed geometry from the Alexandria database. Energies are from PBE-GGA.

It has space group P4/mmm (No. 123), with a = 4.009 Å, b = 4.009 Å, c = 6.142 Å, α = 90.00°, β = 90.00° and γ = 90.00°. Symmetry generates all atoms from Ga at (0.000, 0.000, 0.000), As at (0.500, 0.500, 0.500), I at (0.500, 0.500, 0.000) and O at (0.000, 0.500, 0.500).

The distance to the lowest polymorph of the same formula comes out at 0 meV per atom.

***

2.
Here is crystalline Pm8Ga3AsI4 at its relaxed geometry from the Alexandria database. Energies are from PBE-GGA.

It has space group R-3m (No. 166, hexagonal axes), with a = 8.7064 Å, b = 8.7064 Å, c = 22.5746 Å, α = 90.00°, β = 90.00° and γ = 120.00°. Symmetry generates all atoms from Pm at (0.0000, 0.0000, 0.2356), Pm at (0.0021, 0.5010, 0.7654), Ga at (0.0000, 0.5000, 0.5000), As at (0.0000, 0.0000, 0.5000), I at (0.0000, 0.0000, 0.0000) and I at (0.0000, 0.5000, 0.0000).

***

3.
Here is crystalline Pm4GaAsI2 at its relaxed geometry from the Alexandria database. Energies are from PBE-GGA.

It has space group P2/m (No. 10), with a = 7.468 Å, b = 4.343 Å, c = 8.012 Å, α = 90.00°, β = 108.37° and γ = 90.00°. Symmetry generates all atoms from Pm at (0.231, 0.000, 0.201), Pm at (0.265, 0.500, 0.802), Ga at (0.000, 0.500, 0.000), As at (0.500, 0.000, 0.000), I at (0.000, 0.000, 0.500) and I at (0.500, 0.500, 0.500).

***

Going through the records in order, we get electronic total energy values of -20.03 -217.18 -38.10 eV/cell.
Going through the records in order, we get raw formation energy values of -0.176 -0.904 -1.040 eV per atom.